A plane-wave DFT calculation with PBEsol was carried out for an optimized crystal structure of Al2AsPb.

Results
* ρ: 6.36 g/cm³
* final energy: -16.79 eV per formula unit
* energy above the most stable polymorph in this dataset: 52 kJ/mol of formula units

a b c (Å): 8.755 3.616 5.727
angles (deg): 90.00 104.67 90.00
Space group Cm (No. 8)
One atom of each set of equivalent atoms:
1 Al 0.000 0.000 0.000
2 Al 0.246 0.500 0.203
3 As 0.473 0.000 0.333
4 Pb 0.233 0.000 0.702